# Ba3Pb11 (PBE, optimized geometry)
# space-group type: No. 71
# density of states at the Fermi level: 5.878 states/eV/cell
# formation energy from the elements: -4.1 eV/f.u.
data_Ba3Pb11
_chemical_formula_sum 'Ba3 Pb11'
_cell_length_a 5.490
_cell_length_b 10.122
_cell_length_c 10.122
_cell_angle_alpha 72.31
_cell_angle_beta 74.26
_cell_angle_gamma 74.26
_space_group_name_H-M_alt 'P 1'
_space_group_IT_number 1
_space_group_name_Hall 'P 1'
loop_
_atom_site_label
_atom_site_type_symbol
_atom_site_fract_x
_atom_site_fract_y
_atom_site_fract_z
Ba1 Ba 0.000 0.000 0.000
Ba2 Ba 0.300 0.700 0.700
Ba3 Ba 0.700 0.300 0.300
Pb1 Pb 0.650 0.716 0.985
Pb2 Pb 0.853 0.427 0.868
Pb3 Pb 0.650 0.985 0.716
Pb4 Pb 0.500 0.319 0.681
Pb5 Pb 0.147 0.132 0.573
Pb6 Pb 0.000 0.500 0.500
Pb7 Pb 0.853 0.868 0.427
Pb8 Pb 0.500 0.681 0.319
Pb9 Pb 0.350 0.015 0.284
Pb10 Pb 0.147 0.573 0.132
Pb11 Pb 0.350 0.284 0.015


# Tb5DyHo2Th (PBE, optimized geometry)
# space-group type: No. 36
# density of states at the Fermi level: 23.794 states/eV/cell
# formation energy from the elements: 1.4 eV/f.u.
data_Tb5DyHo2Th
_chemical_formula_sum 'Tb10 Dy2 Ho4 Th2'
_cell_length_a 5.704
_cell_length_b 11.133
_cell_length_c 9.693
_cell_angle_alpha 90.00
_cell_angle_beta 90.00
_cell_angle_gamma 104.84
_space_group_name_H-M_alt 'P 1'
_space_group_IT_number 1
_space_group_name_Hall 'P 1'
loop_
_atom_site_label
_atom_site_type_symbol
_atom_site_fract_x
_atom_site_fract_y
_atom_site_fract_z
Tb1 Tb 0.399 0.798 0.042
Tb2 Tb 0.728 0.455 0.822
Tb3 Tb 0.469 0.937 0.743
Tb4 Tb 0.304 0.607 0.716
Tb5 Tb 0.985 0.971 0.518
Tb6 Tb 0.601 0.202 0.542
Tb7 Tb 0.272 0.545 0.322
Tb8 Tb 0.531 0.063 0.243
Tb9 Tb 0.696 0.393 0.216
Tb10 Tb 0.015 0.029 0.018
Dy1 Dy 0.811 0.622 0.517
Dy2 Dy 0.189 0.378 0.017
Ho1 Ho 0.884 0.768 0.831
Ho2 Ho 0.128 0.256 0.712
Ho3 Ho 0.116 0.232 0.331
Ho4 Ho 0.872 0.744 0.212
Th1 Th 0.595 0.189 0.923
Th2 Th 0.405 0.811 0.423


# Tb3In (PBE, optimized geometry)
# space-group type: No. 25
# density of states at the Fermi level: 5.468 states/eV/cell
# formation energy from the elements: -0.7 eV/f.u.
data_Tb3In
_chemical_formula_sum 'Tb3 In1'
_cell_length_a 5.504
_cell_length_b 3.508
_cell_length_c 6.083
_cell_angle_alpha 90.00
_cell_angle_beta 90.00
_cell_angle_gamma 90.00
_space_group_name_H-M_alt 'P 1'
_space_group_IT_number 1
_space_group_name_Hall 'P 1'
loop_
_atom_site_label
_atom_site_type_symbol
_atom_site_fract_x
_atom_site_fract_y
_atom_site_fract_z
Tb1 Tb 0.000 0.000 0.992
Tb2 Tb 0.000 0.500 0.506
Tb3 Tb 0.500 0.500 0.159
In1 In 0.500 0.000 0.677


# K2Mn2I7 (PBE, optimized geometry)
# uncorrected energy: -3.583 eV per atom
# space-group type: No. 12
# density of states at the Fermi level: 5.453 states/eV/cell
data_K2Mn2I7
_chemical_formula_sum 'K2 Mn2 I7'
_cell_length_a 6.775
_cell_length_b 9.273
_cell_length_c 9.273
_cell_angle_alpha 103.61
_cell_angle_beta 96.96
_cell_angle_gamma 96.96
_space_group_name_H-M_alt 'P 1'
_space_group_IT_number 1
_space_group_name_Hall 'P 1'
loop_
_atom_site_label
_atom_site_type_symbol
_atom_site_fract_x
_atom_site_fract_y
_atom_site_fract_z
K1 K 0.000 0.294 0.706
K2 K 0.000 0.706 0.294
Mn1 Mn 0.414 0.223 0.223
Mn2 Mn 0.586 0.777 0.777
I1 I 0.764 0.914 0.599
I2 I 0.236 0.401 0.086
I3 I 0.236 0.086 0.401
I4 I 0.764 0.599 0.914
I5 I 0.500 0.000 0.000
I6 I 0.259 0.611 0.611
I7 I 0.741 0.389 0.389


# HoMgAl4 (PBE, optimized geometry)
# energy relative to the lowest polymorph listed for this composition: 0.0830 eV/atom
# space-group type: No. 65
# density of states at the Fermi level: 2.738 states/eV/cell
# formation energy from the elements: -1.0 eV/f.u.
data_HoMgAl4
_chemical_formula_sum 'Ho1 Mg1 Al4'
_cell_length_a 4.326
_cell_length_b 4.328
_cell_length_c 6.595
_cell_angle_alpha 90.00
_cell_angle_beta 109.15
_cell_angle_gamma 90.00
_space_group_name_H-M_alt 'P 1'
_space_group_IT_number 1
_space_group_name_Hall 'P 1'
loop_
_atom_site_label
_atom_site_type_symbol
_atom_site_fract_x
_atom_site_fract_y
_atom_site_fract_z
Ho1 Ho 0.500 0.500 0.000
Mg1 Mg 0.000 0.000 0.000
Al1 Al 0.324 0.000 0.648
Al2 Al 0.676 0.000 0.352
Al3 Al 0.821 0.500 0.642
Al4 Al 0.179 0.500 0.358


# NpClO (PBE, optimized geometry)
# uncorrected energy: -8.495 eV per atom
# space-group type: No. 62
# density of states at the Fermi level: 27.449 states/eV/cell
data_NpClO
_chemical_formula_sum 'Np4 Cl4 O4'
_cell_length_a 3.506
_cell_length_b 7.132
_cell_length_c 12.332
_cell_angle_alpha 90.00
_cell_angle_beta 90.00
_cell_angle_gamma 90.00
_space_group_name_H-M_alt 'P 1'
_space_group_IT_number 1
_space_group_name_Hall 'P 1'
loop_
_atom_site_label
_atom_site_type_symbol
_atom_site_fract_x
_atom_site_fract_y
_atom_site_fract_z
Cl1 Cl 0.750 0.364 0.379
Cl2 Cl 0.750 0.864 0.121
Cl3 Cl 0.250 0.136 0.879
Cl4 Cl 0.250 0.636 0.621
Np1 Np 0.250 0.614 0.250
Np2 Np 0.750 0.386 0.750
Np3 Np 0.750 0.886 0.750
Np4 Np 0.250 0.114 0.250
O1 O 0.750 0.137 0.661
O2 O 0.750 0.637 0.839
O3 O 0.250 0.363 0.161
O4 O 0.250 0.863 0.339


# LiBe2Te2 (PBE, optimized geometry)
# uncorrected energy: -3.195 eV per atom
# space-group type: No. 139
# density of states at the Fermi level: 2.161 states/eV/cell
data_LiBe2Te2
_chemical_formula_sum 'Li1 Be2 Te2'
_cell_length_a 3.822
_cell_length_b 3.822
_cell_length_c 7.640
_cell_angle_alpha 75.51
_cell_angle_beta 75.51
_cell_angle_gamma 90.00
_space_group_name_H-M_alt 'P 1'
_space_group_IT_number 1
_space_group_name_Hall 'P 1'
loop_
_atom_site_label
_atom_site_type_symbol
_atom_site_fract_x
_atom_site_fract_y
_atom_site_fract_z
Be1 Be 0.750 0.250 0.500
Be2 Be 0.250 0.750 0.500
Te1 Te 0.365 0.365 0.270
Te2 Te 0.635 0.635 0.730
Li1 Li 0.000 0.000 0.000